# PBE Zr4H2Se5, relaxed
data_Zr4H2Se5
_cell_length_a 3.680
_cell_length_b 8.594
_cell_length_c 7.895
_cell_angle_alpha 104.76
_cell_angle_beta 103.48
_cell_angle_gamma 90.00
_symmetry_space_group_name_H-M 'P 1'
_symmetry_Int_Tables_number 1
loop_
_symmetry_equiv_pos_as_xyz
'x,y,z'
loop_
_atom_site_label
_atom_site_type_symbol
_atom_site_fract_x
_atom_site_fract_y
_atom_site_fract_z
Zr1 Zr 0.001 0.777 0.001
Se1 Se 0.173 0.365 0.346
Zr2 Zr 0.622 0.559 0.244
Se2 Se 0.827 0.635 0.654
Se3 Se 0.173 0.797 0.347
Zr3 Zr 0.999 0.223 0.999
H1 H 0.500 0.634 0.000
Se4 Se 0.500 0.000 0.000
Se5 Se 0.827 0.203 0.653
Zr4 Zr 0.378 0.441 0.756
H2 H 0.500 0.366 0.000
# Size of the total moment   0.0 μB/f.u.
# VASP energy   -0.2345 hartree per atom
# Crystal system   monoclinic
# DOS at the Fermi energy   0.3107 states/eV per atom
# Volume   21.305 Å³/atom


# PBE ZrZn2Cd, relaxed
data_ZrZn2Cd
_cell_length_a 5.316
_cell_length_b 5.316
_cell_length_c 2.822
_cell_angle_alpha 90.00
_cell_angle_beta 90.00
_cell_angle_gamma 108.57
_symmetry_space_group_name_H-M 'P 1'
_symmetry_Int_Tables_number 1
loop_
_symmetry_equiv_pos_as_xyz
'x,y,z'
loop_
_atom_site_label
_atom_site_type_symbol
_atom_site_fract_x
_atom_site_fract_y
_atom_site_fract_z
Cd1 Cd 0.000 0.500 0.500
Zn1 Zn 0.500 0.500 0.000
Zn2 Zn 0.000 0.000 0.000
Zr1 Zr 0.500 0.000 0.500
# Size of the total moment   0.0 μB/f.u.
# VASP energy   -0.1117 hartree per atom
# Energy of formation   -37.3 meV/atom
# Crystal system   orthorhombic
# DOS at the Fermi energy   0.7372 states/eV per atom
# Volume   18.896 Å³/atom


# PBE Tl2GaSb2, relaxed
data_Tl2GaSb2
_cell_length_a 7.466
_cell_length_b 7.466
_cell_length_c 5.565
_cell_angle_alpha 90.00
_cell_angle_beta 90.00
_cell_angle_gamma 90.00
_symmetry_space_group_name_H-M 'P 1'
_symmetry_Int_Tables_number 1
loop_
_symmetry_equiv_pos_as_xyz
'x,y,z'
loop_
_atom_site_label
_atom_site_type_symbol
_atom_site_fract_x
_atom_site_fract_y
_atom_site_fract_z
Sb1 Sb 0.139 0.361 0.000
Sb2 Sb 0.861 0.639 0.000
Tl1 Tl 0.824 0.324 0.500
Ga1 Ga 0.000 0.000 0.000
Tl2 Tl 0.324 0.176 0.500
Sb3 Sb 0.639 0.139 0.000
Ga2 Ga 0.500 0.500 0.000
Tl3 Tl 0.176 0.676 0.500
Tl4 Tl 0.676 0.824 0.500
Sb4 Sb 0.361 0.861 0.000
# Size of the total moment   0.0 μB/f.u.
# E_form (uncorrected)   0.063 eV per atom
# VASP energy   -0.1153 hartree per atom
# Crystal system   tetragonal
# Relative energy among the computed polymorphs   0.00 eV per formula unit
# DOS at the Fermi energy   0.6314 states/eV per atom
# Volume   31.015 Å³/atom


# PBE AgHg5, relaxed
data_AgHg5
_cell_length_a 6.319
_cell_length_b 6.319
_cell_length_c 12.250
_cell_angle_alpha 140.25
_cell_angle_beta 140.25
_cell_angle_gamma 29.74
_symmetry_space_group_name_H-M 'P 1'
_symmetry_Int_Tables_number 1
loop_
_symmetry_equiv_pos_as_xyz
'x,y,z'
loop_
_atom_site_label
_atom_site_type_symbol
_atom_site_fract_x
_atom_site_fract_y
_atom_site_fract_z
Hg1 Hg 0.472 0.472 0.443
Hg2 Hg 0.332 0.332 0.632
Hg3 Hg 0.169 0.169 0.790
Hg4 Hg 0.615 0.615 0.260
Hg5 Hg 0.773 0.773 0.096
Ag1 Ag 0.973 0.973 0.947
# Size of the total moment   0.0 μB/f.u.
# VASP energy   -0.0241 hartree per atom
# Energy of formation   71.1 meV/atom
# Crystal system   monoclinic
# Relative energy among the computed polymorphs   0.00 eV per formula unit
# DOS at the Fermi energy   0.2106 states/eV per atom
# Volume   24.512 Å³/atom


# PBE CdCo2Ag, relaxed
data_CdCo2Ag
_cell_length_a 4.004
_cell_length_b 2.757
_cell_length_c 6.148
_cell_angle_alpha 62.77
_cell_angle_beta 90.00
_cell_angle_gamma 90.00
_symmetry_space_group_name_H-M 'P 1'
_symmetry_Int_Tables_number 1
loop_
_symmetry_equiv_pos_as_xyz
'x,y,z'
loop_
_atom_site_label
_atom_site_type_symbol
_atom_site_fract_x
_atom_site_fract_y
_atom_site_fract_z
Ag1 Ag 0.500 0.250 0.250
Cd1 Cd 0.500 0.750 0.750
Co1 Co 0.000 0.514 0.485
Co2 Co 0.000 0.986 0.015
# Size of the total moment   3.1 μB/f.u.
# VASP energy   -0.1488 hartree per atom
# Energy of formation   445.1 meV/atom
# Crystal system   monoclinic
# DOS at the Fermi energy   1.6427 states/eV per atom
# Volume   15.087 Å³/atom


# PBE Cd2GeAu6, relaxed
data_Cd2GeAu6
_cell_length_a 6.413
_cell_length_b 8.583
_cell_length_c 8.583
_cell_angle_alpha 120.60
_cell_angle_beta 77.30
_cell_angle_gamma 77.30
_symmetry_space_group_name_H-M 'P 1'
_symmetry_Int_Tables_number 1
loop_
_symmetry_equiv_pos_as_xyz
'x,y,z'
loop_
_atom_site_label
_atom_site_type_symbol
_atom_site_fract_x
_atom_site_fract_y
_atom_site_fract_z
Au1 Au 0.996 0.502 0.333
Au2 Au 0.504 0.667 0.498
Cd1 Cd 0.000 0.165 0.336
Au3 Au 0.496 0.333 0.502
Au4 Au 0.243 0.579 0.079
Au5 Au 0.743 0.079 0.579
Au6 Au 0.997 0.834 0.002
Au7 Au 0.503 0.998 0.166
Ge1 Ge 0.250 0.250 0.750
Au8 Au 0.003 0.166 0.998
Au9 Au 0.497 0.002 0.834
Cd2 Cd 0.500 0.336 0.165
Au10 Au 0.004 0.498 0.667
Ge2 Ge 0.750 0.750 0.250
Cd3 Cd 0.500 0.664 0.835
Cd4 Cd 0.000 0.835 0.664
Au11 Au 0.757 0.421 0.921
Au12 Au 0.257 0.921 0.421
# Size of the total moment   0.0 μB/f.u.
# VASP energy   -0.1069 hartree per atom
# Energy of formation   -8.7 meV/atom
# Crystal system   monoclinic
# DOS at the Fermi energy   0.2457 states/eV per atom
# Volume   20.243 Å³/atom


# PBE In2TcP, relaxed
data_In2TcP
_cell_length_a 3.046
_cell_length_b 3.046
_cell_length_c 8.210
_cell_angle_alpha 90.00
_cell_angle_beta 90.00
_cell_angle_gamma 90.00
_symmetry_space_group_name_H-M 'P 1'
_symmetry_Int_Tables_number 1
loop_
_symmetry_equiv_pos_as_xyz
'x,y,z'
loop_
_atom_site_label
_atom_site_type_symbol
_atom_site_fract_x
_atom_site_fract_y
_atom_site_fract_z
P1 P 0.500 0.500 0.000
In1 In 0.000 0.000 0.735
In2 In 0.000 0.000 0.265
Tc1 Tc 0.500 0.500 0.500
# Size of the total moment   1.4 μB/f.u.
# VASP energy   -0.1760 hartree per atom
# Energy of formation   525.2 meV/atom
# Crystal system   tetragonal
# DOS at the Fermi energy   0.7053 states/eV per atom
# Volume   19.047 Å³/atom


# PBE Dy3Zn9Ga2, relaxed
data_Dy3Zn9Ga2
_cell_length_a 4.294
_cell_length_b 8.130
_cell_length_c 8.130
_cell_angle_alpha 71.19
_cell_angle_beta 74.69
_cell_angle_gamma 74.69
_symmetry_space_group_name_H-M 'P 1'
_symmetry_Int_Tables_number 1
loop_
_symmetry_equiv_pos_as_xyz
'x,y,z'
loop_
_atom_site_label
_atom_site_type_symbol
_atom_site_fract_x
_atom_site_fract_y
_atom_site_fract_z
Dy1 Dy 0.303 0.697 0.697
Zn1 Zn 0.341 0.027 0.291
Zn2 Zn 0.000 0.500 0.500
Zn3 Zn 0.142 0.135 0.581
Dy2 Dy 0.697 0.303 0.303
Zn4 Zn 0.341 0.291 0.027
Zn5 Zn 0.142 0.581 0.135
Ga1 Ga 0.500 0.699 0.301
Zn6 Zn 0.858 0.419 0.865
Zn7 Zn 0.659 0.709 0.973
Ga2 Ga 0.500 0.301 0.699
Zn8 Zn 0.858 0.865 0.419
Zn9 Zn 0.659 0.973 0.709
Dy3 Dy 0.000 0.000 0.000
# Size of the total moment   0.0 μB/f.u.
# VASP energy   -0.0954 hartree per atom
# Energy of formation   -358.4 meV/atom
# Crystal system   orthorhombic
# DOS at the Fermi energy   0.4523 states/eV per atom
# Volume   18.150 Å³/atom